# TiCo3O8

A geometry-optimized TiCo3O8 structure (PBEsol, the Alexandria database).

Cell: 5.5573 5.5573 8.8383 Å, 90.00 90.00 120.00°
Space group P6_3mc (No. 186)
Asymmetric unit:
Ti (0.3333, 0.6667, 0.0000) (multiplicity 2)
Co (0.1678, 0.3357, 0.2812) (multiplicity 6)
O (0.0000, 0.0000, 0.1817) (multiplicity 2)
O (0.0356, 0.5178, 0.1641) (multiplicity 6)
O (0.1631, 0.3262, 0.8929) (multiplicity 6)
O (0.3333, 0.6667, 0.3881) (multiplicity 2)

Summary:
The size of the total moment comes out at 0.254 μB per atom. The value obtained for the volume is 118.19 Å³/f.u. The uncorrected formation energy comes out at -1384 meV per atom. Its distance to the lowest polymorph of the same formula is 0.0 meV/atom.

---

# TiCo5O12

A geometry-optimized TiCo5O12 structure (PBEsol, the Alexandria database).

Cell: 4.8518 8.4176 9.3015 Å, 90.00 90.57 90.00°
Space group C2/m (No. 12)
Asymmetric unit:
Ti (0.0000, 0.0000, 0.0000) (multiplicity 2)
Co (0.0000, 0.1667, 0.5000) (multiplicity 4)
Co (0.0000, 0.3334, 0.0000) (multiplicity 4)
Co (0.0000, 0.5000, 0.5000) (multiplicity 2)
O (0.1526, 0.5000, 0.1052) (multiplicity 4)
O (0.1645, 0.0000, 0.4019) (multiplicity 4)
O (0.1647, 0.3334, 0.4023) (multiplicity 8)
O (0.1765, 0.1746, 0.1050) (multiplicity 8)

Summary:
The size of the total moment comes out at 0.258 μB per atom. The value obtained for the volume is 189.93 Å³/f.u. The uncorrected formation energy comes out at -1181 meV per atom.